(1)
VASP calculation (PBE-GGA) on an optimized crystal structure of Zr2GaIr.

a = 5.529 Å, b = 4.246 Å, c = 7.053 Å
α = 90.00°, β = 110.62°, γ = 90.00°
Fractional coordinates of all 8 atoms:
Zr 0.199 0.250 0.436
Zr 0.231 0.250 0.917
Zr 0.769 0.750 0.083
Zr 0.801 0.750 0.564
Ga 0.320 0.750 0.212
Ga 0.680 0.250 0.788
Ir 0.347 0.750 0.708
Ir 0.653 0.250 0.292

## Properties
Final energy = -7.9850 eV/atom
Symmetry = P2_1/m, No. 11
Calculated formation energy = -739 meV per atom

***

(2)
VASP calculation (PBE-GGA) on an optimized crystal structure of MgTl12In2.

a = 6.638 Å, b = 6.638 Å, c = 22.592 Å
α = 90.00°, β = 90.00°, γ = 90.00°
Fractional coordinates of all 30 atoms:
Mg 0.250 0.750 0.000
Mg 0.750 0.250 0.000
Tl 0.001 0.501 0.089
Tl 0.001 0.999 0.911
Tl 0.079 0.579 0.435
Tl 0.079 0.921 0.565
Tl 0.250 0.250 0.196
Tl 0.250 0.250 0.333
Tl 0.250 0.250 0.667
Tl 0.250 0.250 0.804
Tl 0.421 0.579 0.565
Tl 0.421 0.921 0.435
Tl 0.499 0.501 0.911
Tl 0.499 0.999 0.089
Tl 0.501 0.001 0.911
Tl 0.501 0.499 0.089
Tl 0.579 0.079 0.565
Tl 0.579 0.421 0.435
Tl 0.750 0.750 0.196
Tl 0.750 0.750 0.333
Tl 0.750 0.750 0.667
Tl 0.750 0.750 0.804
Tl 0.921 0.079 0.435
Tl 0.921 0.421 0.565
Tl 0.999 0.001 0.089
Tl 0.999 0.499 0.911
In 0.250 0.750 0.208
In 0.250 0.750 0.792
In 0.750 0.250 0.208
In 0.750 0.250 0.792

## Properties
Final energy = -2.2489 eV/atom
Symmetry = P4/nbm, No. 125
Calculated formation energy = 116 meV per atom

***

(3)
VASP calculation (PBE-GGA) on an optimized crystal structure of Zr3CdH.

a = 11.424 Å, b = 11.424 Å, c = 11.424 Å
α = 154.06°, β = 154.06°, γ = 37.01°
Fractional coordinates of all 10 atoms:
Zr 0.198 0.198 0.000
Zr 0.370 0.118 0.749
Zr 0.370 0.621 0.251
Zr 0.379 0.630 0.749
Zr 0.802 0.802 0.000
Zr 0.882 0.630 0.251
Cd 0.250 0.750 0.500
Cd 0.500 0.500 0.000
H 0.655 0.155 0.500
H 0.845 0.345 0.500

## Properties
ΔE to the lowest computed polymorph = 1252 meV per atom
Final energy = -4.9713 eV/atom
Symmetry = I-4m2, No. 119

***

Question: Which value of final energy does entry 2 give?
Answer: -2.2489 eV/atom